1.
Computed, not measured: a relaxed Cs2BaHoCl6 crystal at the PBE-GGA level of DFT.

The structure in POSCAR format:
```
Cs2BaHoCl6
1.0
7.703 0.000 0.000
0.000 11.426 0.000
0.000 0.000 8.518
Cs Ba Ho Cl
4 2 2 12
direct
0.250 0.020 0.214 Cs
0.250 0.480 0.214 Cs
0.750 0.520 0.786 Cs
0.750 0.980 0.786 Cs
0.250 0.250 0.723 Ba
0.750 0.750 0.277 Ba
0.250 0.750 0.773 Ho
0.750 0.250 0.227 Ho
0.006 0.750 0.553 Cl
0.013 0.750 0.002 Cl
0.250 0.517 0.774 Cl
0.250 0.983 0.774 Cl
0.487 0.750 0.002 Cl
0.494 0.750 0.553 Cl
0.506 0.250 0.447 Cl
0.513 0.250 0.998 Cl
0.750 0.017 0.226 Cl
0.750 0.483 0.226 Cl
0.987 0.250 0.998 Cl
0.994 0.250 0.447 Cl
```

uncorrected formation energy	-2.08	eV/atom

2.
Computed, not measured: a relaxed Rh2SeCl crystal at the PBE-GGA level of DFT.

The structure in POSCAR format:
```
Rh2SeCl
1.0
3.148 0.000 0.000
0.000 3.148 0.000
0.000 0.000 6.645
Rh Se Cl
2 1 1
direct
0.000 0.000 0.209 Rh
0.000 0.000 0.791 Rh
0.500 0.500 0.000 Se
0.500 0.500 0.500 Cl
```

offset from the most stable computed form	0.231	eV per atom
uncorrected formation energy	0.17	eV/atom

3.
Computed, not measured: a relaxed NdTm2TiN4 crystal at the PBE-GGA level of DFT.

The structure in POSCAR format:
```
NdTm2TiN4
1.0
1.694 -5.858 0.000
1.694 5.858 0.000
0.000 0.000 11.732
Nd Tm Ti N
2 4 2 8
direct
0.097 0.903 0.750 Nd
0.903 0.097 0.250 Nd
0.371 0.629 0.539 Tm
0.371 0.629 0.961 Tm
0.629 0.371 0.039 Tm
0.629 0.371 0.461 Tm
0.165 0.835 0.250 Ti
0.835 0.165 0.750 Ti
0.000 0.000 0.000 N
0.000 0.000 0.500 N
0.261 0.739 0.121 N
0.261 0.739 0.379 N
0.431 0.569 0.750 N
0.569 0.431 0.250 N
0.739 0.261 0.621 N
0.739 0.261 0.879 N
```

uncorrected formation energy	-1.52	eV/atom

4.
Computed, not measured: a relaxed AcTbDy4 crystal at the PBE-GGA level of DFT.

The structure in POSCAR format:
```
AcTbDy4
1.0
5.360 -6.683 0.000
5.360 6.683 0.000
-3.612 0.000 5.643
Ac Tb Dy
2 2 8
direct
0.074 0.926 0.750 Ac
0.926 0.074 0.250 Ac
0.191 0.809 0.250 Tb
0.809 0.191 0.750 Tb
0.151 0.519 0.754 Dy
0.262 0.418 0.254 Dy
0.418 0.262 0.754 Dy
0.481 0.849 0.746 Dy
0.519 0.151 0.254 Dy
0.582 0.738 0.246 Dy
0.738 0.582 0.746 Dy
0.849 0.481 0.246 Dy
```

ΔE_f	1.35	kcal/mol of atoms
offset from the most stable computed form	0.000	eV per atom

5.
Computed, not measured: a relaxed NpGaSn2 crystal at the PBE-GGA level of DFT.

The structure in POSCAR format:
```
NpGaSn2
1.0
3.803 0.000 0.000
0.000 3.803 0.000
0.000 0.000 6.649
Np Ga Sn
1 1 2
direct
0.000 0.000 0.000 Np
0.000 0.000 0.500 Ga
0.500 0.500 0.278 Sn
0.500 0.500 0.722 Sn
```

ΔE_f	0.14	kcal/mol of atoms
offset from the most stable computed form	0.172	eV per atom

6.
Computed, not measured: a relaxed VTe2H crystal at the PBE-GGA level of DFT.

The structure in POSCAR format:
```
VTe2H
1.0
2.029 1.172 6.843
-2.029 1.172 6.843
0.000 -2.343 6.843
V Te H
1 2 1
direct
0.000 0.000 0.000 V
0.404 0.404 0.404 Te
0.596 0.596 0.596 Te
0.500 0.500 0.500 H
```

offset from the most stable computed form	0.218	eV per atom